This record from Alexandria via LeMat-Bulk describes crystalline Y4Ho2Er at its relaxed geometry. The functional is PBE.

Lattice parameters (Å, degrees): 5.9285 6.6911 11.6801 90.00 105.06 90.00
Positions (direct):
Ho1 0.7282 0.7500 0.5591
Ho2 0.5962 0.7500 0.0070
Ho3 0.2718 0.2500 0.4409
Ho4 0.4038 0.2500 0.9930
Y1 0.3654 0.5035 0.7097
Y2 0.1582 0.7500 0.4245
Y3 0.8418 0.2500 0.5755
Y4 0.0151 0.2500 0.1556
Y5 0.6346 0.4965 0.2903
Y6 0.9849 0.7500 0.8444
Y7 0.3654 0.9965 0.7097
Y8 0.6346 0.0035 0.2903
Er1 0.1567 0.7500 0.1422
Er2 0.8433 0.2500 0.8578

## Properties
The total magnetization is 0.00 μB/f.u. The calculation puts the energy above the most stable polymorph in this dataset at 0.74 eV/f.u. The energy of formation comes out at 0.14 eV/atom. As for the theoretical density: 6.33 g/cm³. As for the symmetry: P2_1/m. The value obtained for the uncorrected energy is -5.51 eV per atom.


This record from Alexandria via LeMat-Bulk describes crystalline Y2Ho7Er at its relaxed geometry. The functional is PBE.

Lattice parameters (Å, degrees): 5.0203 9.8416 9.8416 128.63 90.00 90.00
Positions (direct):
Ho1 0.0000 0.1902 0.8098
Ho2 0.5000 0.7156 0.9227
Ho3 0.5000 0.9227 0.7156
Ho4 0.5000 0.5000 0.5000
Ho5 0.0000 0.8098 0.1902
Ho6 0.5000 0.0773 0.2844
Ho7 0.5000 0.2844 0.0773
Y1 0.5000 0.2970 0.7030
Y2 0.5000 0.7030 0.2970
Er1 0.0000 0.0000 0.0000

## Properties
The total magnetization is 0.00 μB/f.u. The calculation puts the energy above the most stable polymorph in this dataset at 5.82 eV/f.u. The energy of formation comes out at 0.70 eV/atom. As for the theoretical density: 6.56 g/cm³. As for the symmetry: Cmmm. The value obtained for the uncorrected energy is -4.25 eV per atom.


This record from Alexandria via LeMat-Bulk describes crystalline Y6HoEr2 at its relaxed geometry. The functional is PBE.

Lattice parameters (Å, degrees): 5.0265 10.6534 10.6534 90.00 90.00 90.00
Positions (direct):
Er1 0.0001 0.3340 0.8336
Er2 0.9999 0.6660 0.1664
Er3 0.4999 0.8340 0.6664
Er4 0.5001 0.1660 0.3336
Y1 0.9999 0.6678 0.4999
Y2 0.9999 0.6662 0.8342
Y3 0.5001 0.1679 0.0000
Y4 0.0000 0.9996 0.1678
Y5 0.0000 0.0004 0.8322
Y6 0.4999 0.8321 0.0000
Y7 0.0001 0.3338 0.1658
Y8 0.0001 0.3322 0.5001
Y9 0.5001 0.1662 0.6658
Y10 0.5000 0.5004 0.6679
Y11 0.5000 0.4996 0.3321
Y12 0.4999 0.8338 0.3342
Ho1 0.0000 0.0000 0.5000
Ho2 0.5000 0.5000 0.0000

## Properties
The total magnetization is 0.00 μB/f.u. The calculation puts the energy above the most stable polymorph in this dataset at 0.00 eV/f.u. The energy of formation comes out at 0.03 eV/atom. As for the theoretical density: 6.01 g/cm³. As for the symmetry: P4_2/mnm. The value obtained for the uncorrected energy is -5.81 eV per atom.


This record from Alexandria via LeMat-Bulk describes crystalline Y4HoEr2 at its relaxed geometry. The functional is PBE.

Lattice parameters (Å, degrees): 6.7211 8.9268 8.9268 79.39 67.89 67.89
Positions (direct):
Er1 0.5000 0.0000 0.0000
Er2 0.5000 0.5000 0.5000
Er3 0.2771 0.9729 0.4729
Er4 0.7229 0.0271 0.5271
Y1 0.8527 0.1544 0.1401
Y2 0.1473 0.3599 0.3456
Y3 0.2368 0.2384 0.7384
Y4 0.7632 0.7616 0.2616
Y5 0.1473 0.8456 0.8599
Y6 0.2135 0.7616 0.2616
Y7 0.8527 0.6401 0.6544
Y8 0.7865 0.2384 0.7384
Ho1 0.5000 0.5000 0.0000
Ho2 0.0000 0.5000 0.0000

## Properties
The total magnetization is 0.00 μB/f.u. The calculation puts the energy above the most stable polymorph in this dataset at 1.74 eV/f.u. The energy of formation comes out at 0.28 eV/atom. As for the theoretical density: 6.19 g/cm³. As for the symmetry: Imma. The value obtained for the uncorrected energy is -5.37 eV per atom.